# AcDy2Se4 | Alexandria via LeMat-Bulk | PBE | relaxed
data_AcDy2Se4
_space_group_name_H-M_alt 'P 1'
_space_group_IT_number 1
_cell_length_a 4.1641
_cell_length_b 7.0636
_cell_length_c 14.0036
_cell_angle_alpha 90.00
_cell_angle_beta 90.00
_cell_angle_gamma 107.14
loop_
_space_group_symop_operation_xyz
'x,y,z'
loop_
_atom_site_label
_atom_site_fract_x
_atom_site_fract_y
_atom_site_fract_z
Se1 0.2301 0.4602 0.6176
Dy1 0.1293 0.2586 0.0634
Se2 0.7699 0.5398 0.3824
Ac1 0.3799 0.7598 0.2500
Se3 0.5000 0.0000 0.0000
Dy2 0.8707 0.7414 0.9366
Se4 0.9497 0.8994 0.7500
Dy3 0.1293 0.2586 0.4366
Ac2 0.6201 0.2402 0.7500
Dy4 0.8707 0.7414 0.5634
Se5 0.2301 0.4602 0.8824
Se6 0.7699 0.5398 0.1176
Se7 0.5000 0.0000 0.5000
Se8 0.0503 0.1006 0.2500
# Total energy = -40.68 eV per formula unit
# E_form (uncorrected) = -1.919 eV/atom
# Crystal system = orthorhombic